Record 1
RbAgSn | PBE | optimized geometry

Output
Offset from the most stable computed form ... 0.035 eV/atom
Formation energy from the elements ... -0.1172 eV/atom
Total energy ... -2.724 eV per atom

POSCAR file:
```
RbAgSn
1.0
5.0063 0.0000 0.0000
0.0000 4.8948 0.0000
-2.4942 0.0000 8.4921
Rb Ag Sn
2 2 2
Cartesian
0.0015 0.0000 2.7606
2.5105 0.0000 5.7316
0.0000 2.4474 0.0000
2.5031 0.0000 0.0000
0.0114 2.4474 6.9583
2.5007 2.4474 1.5339
```

***

Record 2
RbAg2Sn10 | PBE | optimized geometry

Output
Formation energy from the elements ... -0.0037 eV/atom
Total energy ... -3.596 eV per atom

POSCAR file:
```
RbAg2Sn10
1.0
0.0000 7.1940 8.2757
3.0884 0.0000 8.2757
3.0884 7.1940 0.0000
Rb Ag Sn
1 2 10
Cartesian
0.0000 0.0000 0.0000
1.5442 0.0000 4.1378
1.5442 7.1940 4.1378
1.5442 3.5970 0.0000
3.0884 4.7412 3.0374
3.0884 5.6394 6.2758
3.0884 9.6468 3.0374
3.0884 8.7487 6.2758
1.5442 3.5970 8.2757
3.0884 5.6394 10.2756
3.0884 4.7412 13.5140
3.0884 8.7487 10.2756
3.0884 9.6468 13.5140
```

***

Record 3
RbAgSn | PBE | optimized geometry

Output
Offset from the most stable computed form ... 0.165 eV/atom
Formation energy from the elements ... 0.0135 eV/atom
Total energy ... -2.594 eV per atom

POSCAR file:
```
RbAgSn
1.0
4.7660 0.0000 0.0000
-2.3830 4.1275 0.0000
0.0000 0.0000 5.6525
Rb Ag Sn
1 1 1
Cartesian
0.0000 0.0000 0.0000
0.0000 2.7517 2.8263
2.3830 1.3758 2.8263
```

***

Record 4
RbAg2Sn8 | PBE | optimized geometry

Output
Formation energy from the elements ... 0.1056 eV/atom
Total energy ... -3.412 eV per atom

POSCAR file:
```
RbAg2Sn8
1.0
6.3100 0.0000 0.0000
0.0000 6.3100 0.0000
0.0000 0.0000 10.0876
Rb Ag Sn
1 2 8
Cartesian
0.0000 0.0000 0.0000
0.0000 3.1550 5.0438
3.1550 0.0000 5.0438
1.5913 1.5913 3.1846
1.5913 1.5913 6.9030
1.5913 4.7187 3.1846
1.5913 4.7187 6.9030
4.7187 1.5913 3.1846
4.7187 1.5913 6.9030
4.7187 4.7187 3.1846
4.7187 4.7187 6.9030
```

***

> Among the records above, which one has the highest formation energy from the elements?

RbAg2Sn8

***

> formation energy from the elements of number 4 (RbAg2Sn8)?

0.1056 eV/atom

***

> Which of these has the highest formation energy from the elements?

RbAg2Sn8